A relaxed Y2AsPb crystal, computed with GGA-PBE.

```
data_Y2AsPb
_cell_length_a 7.275
_cell_length_b 8.087
_cell_length_c 3.702
_cell_angle_alpha 90.00
_cell_angle_beta 103.45
_cell_angle_gamma 90.00
_space_group_name_H-M_alt 'C 1 2/m 1'
_space_group_IT_number 12
loop_
_space_group_symop_operation_xyz
'x,y,z'
'-x,-y,-z'
'-x,y,-z'
'x,-y,z'
'x+1/2,y+1/2,z'
'-x+1/2,-y+1/2,-z'
'-x+1/2,y+1/2,-z'
'x+1/2,-y+1/2,z'
loop_
_atom_site_label
_atom_site_type_symbol
_atom_site_fract_x
_atom_site_fract_y
_atom_site_fract_z
Y1 Y 0.250 0.250 0.000
As1 As 0.000 0.000 0.500
Pb1 Pb 0.000 0.500 0.500
```

Calculated values
* polymorph energy (0 for the lowest one): 320 meV/atom
* energy of formation: -2.8 eV/f.u.
* theoretical density: 7.2 g cm⁻³